(1)
Na4Tm3MnSe8: relaxed, PBE-GGA.

Cell and atoms, written as CIF:
```
data_Na4Tm3MnSe8
_chemical_formula_sum 'Na4 Tm3 Mn1 Se8'
_symmetry_space_group_name_H-M 'P 1'
_symmetry_Int_Tables_number 1
_cell_length_a 8.055
_cell_length_b 8.403
_cell_length_c 8.054
_cell_angle_alpha 118.65
_cell_angle_beta 120.00
_cell_angle_gamma 90.00
loop_
_symmetry_equiv_pos_as_xyz
'x,y,z'
loop_
_atom_site_label
_atom_site_type_symbol
_atom_site_fract_x
_atom_site_fract_y
_atom_site_fract_z
Se1 Se 0.768 0.281 0.012
Se2 Se 0.232 0.720 0.464
Se3 Se 0.743 0.729 0.486
Se4 Se 0.232 0.719 0.988
Se5 Se 0.768 0.280 0.536
Se6 Se 0.756 0.719 0.988
Se7 Se 0.257 0.271 0.514
Se8 Se 0.244 0.281 0.012
Tm1 Tm 0.000 0.500 0.500
Tm2 Tm 0.500 0.500 0.000
Tm3 Tm 0.500 0.500 0.500
Na1 Na 0.500 0.000 0.500
Na2 Na 0.500 0.000 0.000
Na3 Na 0.000 0.000 0.000
Na4 Na 0.000 0.000 0.500
Mn1 Mn 0.000 0.500 0.000
```

Properties
SG	R-3m (166)
energy relative to the elements, uncorrected	-1.426	eV per atom

***

(2)
Li2Mg4Ag: relaxed, PBE-GGA.

Cell and atoms, written as CIF:
```
data_Li2Mg4Ag
_chemical_formula_sum 'Li4 Mg8 Ag2'
_symmetry_space_group_name_H-M 'P 1'
_symmetry_Int_Tables_number 1
_cell_length_a 9.558
_cell_length_b 5.683
_cell_length_c 5.358
_cell_angle_alpha 89.96
_cell_angle_beta 90.00
_cell_angle_gamma 90.00
loop_
_symmetry_equiv_pos_as_xyz
'x,y,z'
loop_
_atom_site_label
_atom_site_type_symbol
_atom_site_fract_x
_atom_site_fract_y
_atom_site_fract_z
Mg1 Mg 0.750 0.750 0.991
Mg2 Mg 0.840 0.999 0.493
Mg3 Mg 0.660 0.499 0.493
Mg4 Mg 0.250 0.750 0.009
Mg5 Mg 0.250 0.250 0.009
Mg6 Mg 0.160 0.001 0.507
Mg7 Mg 0.340 0.501 0.507
Mg8 Mg 0.750 0.250 0.991
Li1 Li 0.502 0.000 0.255
Li2 Li 0.002 0.500 0.745
Li3 Li 0.998 0.500 0.255
Li4 Li 0.498 0.000 0.745
Ag1 Ag 0.500 0.500 0.000
Ag2 Ag 0.000 0.000 0.000
```

Properties
DFT formation energy	-0.08	eV/atom
SG	P2_1/c (14)

***

(3)
RbHg2Pt2: relaxed, PBE-GGA.

Cell and atoms, written as CIF:
```
data_RbHg2Pt2
_chemical_formula_sum 'Rb1 Hg2 Pt2'
_symmetry_space_group_name_H-M 'P 1'
_symmetry_Int_Tables_number 1
_cell_length_a 4.322
_cell_length_b 4.322
_cell_length_c 7.173
_cell_angle_alpha 72.47
_cell_angle_beta 72.47
_cell_angle_gamma 90.00
loop_
_symmetry_equiv_pos_as_xyz
'x,y,z'
loop_
_atom_site_label
_atom_site_type_symbol
_atom_site_fract_x
_atom_site_fract_y
_atom_site_fract_z
Hg1 Hg 0.388 0.388 0.224
Hg2 Hg 0.612 0.612 0.776
Pt1 Pt 0.250 0.750 0.500
Pt2 Pt 0.750 0.250 0.500
Rb1 Rb 0.000 0.000 0.000
```

Properties
DFT formation energy	0.01	eV/atom
SG	I4/mmm (139)
polymorph energy (0 for the lowest one)	0.056	eV/atom

***

(4)
Mg3ZnF: relaxed, PBE-GGA.

Cell and atoms, written as CIF:
```
data_Mg3ZnF
_chemical_formula_sum 'Mg3 Zn1 F1'
_symmetry_space_group_name_H-M 'P 1'
_symmetry_Int_Tables_number 1
_cell_length_a 4.466
_cell_length_b 4.466
_cell_length_c 4.466
_cell_angle_alpha 90.00
_cell_angle_beta 90.00
_cell_angle_gamma 90.00
loop_
_symmetry_equiv_pos_as_xyz
'x,y,z'
loop_
_atom_site_label
_atom_site_type_symbol
_atom_site_fract_x
_atom_site_fract_y
_atom_site_fract_z
F1 F 0.000 0.000 0.000
Zn1 Zn 0.500 0.500 0.500
Mg1 Mg 0.500 0.000 0.000
Mg2 Mg 0.000 0.000 0.500
Mg3 Mg 0.000 0.500 0.000
```

Properties
SG	Pm-3m (221)
polymorph energy (0 for the lowest one)	0.000	eV/atom
energy relative to the elements, uncorrected	-0.732	eV per atom

***

(5)
BaCdHg2: relaxed, PBE-GGA.

Cell and atoms, written as CIF:
```
data_BaCdHg2
_chemical_formula_sum 'Ba1 Cd1 Hg2'
_symmetry_space_group_name_H-M 'P 1'
_symmetry_Int_Tables_number 1
_cell_length_a 4.137
_cell_length_b 4.106
_cell_length_c 7.915
_cell_angle_alpha 67.03
_cell_angle_beta 90.00
_cell_angle_gamma 90.00
loop_
_symmetry_equiv_pos_as_xyz
'x,y,z'
loop_
_atom_site_label
_atom_site_type_symbol
_atom_site_fract_x
_atom_site_fract_y
_atom_site_fract_z
Hg1 Hg 0.000 0.976 0.964
Hg2 Hg 0.000 0.524 0.536
Ba1 Ba 0.500 0.250 0.250
Cd1 Cd 0.500 0.750 0.750
```

Properties
DFT formation energy	-0.31	eV/atom
SG	P2/m (10)

***

(6)
TaFe2As2: relaxed, PBE-GGA.

Cell and atoms, written as CIF:
```
data_TaFe2As2
_chemical_formula_sum 'Ta2 Fe4 As4'
_symmetry_space_group_name_H-M 'P 1'
_symmetry_Int_Tables_number 1
_cell_length_a 6.977
_cell_length_b 6.977
_cell_length_c 2.926
_cell_angle_alpha 90.00
_cell_angle_beta 90.00
_cell_angle_gamma 90.00
loop_
_symmetry_equiv_pos_as_xyz
'x,y,z'
loop_
_atom_site_label
_atom_site_type_symbol
_atom_site_fract_x
_atom_site_fract_y
_atom_site_fract_z
As1 As 0.154 0.346 0.000
As2 As 0.346 0.846 0.000
As3 As 0.654 0.154 0.000
As4 As 0.846 0.654 0.000
Fe1 Fe 0.361 0.139 0.500
Fe2 Fe 0.639 0.861 0.500
Fe3 Fe 0.139 0.639 0.500
Fe4 Fe 0.861 0.361 0.500
Ta1 Ta 0.000 0.000 0.000
Ta2 Ta 0.500 0.500 0.000
```

Properties
DFT formation energy	-0.02	eV/atom
SG	P4/mbm (127)